--- 1 ---
Computed, not measured: EuTh2Pa after structural relaxation at the PBE level of DFT.

Summary:
* size of the total moment: 7.9 μB/cell
* Fermi-level density of states: 9.05 states/eV per cell

Lattice parameters (Å, degrees): 3.451 3.451 12.632 82.15 82.15 60.00
Element x y z (fractional)
Pa  0.500  0.500  0.500
Th  0.909  0.909  0.274
Th  0.091  0.091  0.726
Eu  0.000  0.000  0.000

---

--- 2 ---
Computed, not measured: EuTh2Pa after structural relaxation at the PBE level of DFT.

Summary:
* size of the total moment: 7.4 μB/cell
* Fermi-level density of states: 7.60 states/eV per cell

Lattice parameters (Å, degrees): 3.948 3.948 8.397 90.00 90.00 90.00
Element x y z (fractional)
Th  0.000  0.000  0.798
Th  0.000  0.000  0.202
Eu  0.500  0.500  0.500
Pa  0.500  0.500  0.000

---

Energy above the most stable structure, in meV per atom: 1 25; 2 0